A plane-wave DFT calculation with PBE was carried out for a geometry-optimized BaBePdPb structure.

abc: 5.209 5.209 5.209
angles: 60.00 60.00 60.00
Atoms (fractional coordinates):
Pd 0.000 0.000 0.000
Be 0.750 0.750 0.750
Pb 0.500 0.500 0.500
Ba 0.250 0.250 0.250

Output
The value obtained for the total energy is -13.4 eV per cell. The space-group type is F-43m, No. 216.

---

A plane-wave DFT calculation with PBE was carried out for a geometry-optimized BaBePtPb structure.

abc: 5.172 5.172 5.172
angles: 60.00 60.00 60.00
Atoms (fractional coordinates):
Pt 0.250 0.250 0.250
Be 0.750 0.750 0.750
Ba 0.500 0.500 0.500
Pb 0.000 0.000 0.000

Output
The value obtained for the total energy is -14.8 eV per cell. The space-group type is F-43m, No. 216.